Computed, not measured: a relaxed structure of SrCdTc2 at the PBEsol level of DFT.

Cell and atoms, written as CIF:
```
data_SrCdTc2
_space_group_name_H-M_alt 'P 4 m m'
_space_group_IT_number 99
_cell_length_a 3.120
_cell_length_b 3.120
_cell_length_c 8.142
_cell_angle_alpha 90.00
_cell_angle_beta 90.00
_cell_angle_gamma 90.00
loop_
_space_group_symop_operation_xyz
'x,y,z'
'-y,x,z'
'-x,-y,z'
'y,-x,z'
'-x,y,z'
'y,x,z'
'x,-y,z'
'-y,-x,z'
loop_
_atom_site_label
_atom_site_type_symbol
_atom_site_fract_x
_atom_site_fract_y
_atom_site_fract_z
Sr1 Sr 0.000 0.000 0.000
Cd1 Cd 0.500 0.500 0.677
Tc1 Tc 0.000 0.000 0.441
Tc2 Tc 0.500 0.500 0.291
```

Computed, not measured: a relaxed structure of SrTi3Cd at the PBEsol level of DFT.

Cell and atoms, written as CIF:
```
data_SrTi3Cd
_space_group_name_H-M_alt 'P m -3 m'
_space_group_IT_number 221
_space_group_name_Hall '-P 4 2 3'
_cell_length_a 5.130
_cell_length_b 5.130
_cell_length_c 5.130
_cell_angle_alpha 90.00
_cell_angle_beta 90.00
_cell_angle_gamma 90.00
loop_
_atom_site_label
_atom_site_type_symbol
_atom_site_fract_x
_atom_site_fract_y
_atom_site_fract_z
Sr1 Sr 0.000 0.000 0.000
Ti1 Ti 0.000 0.500 0.500
Cd1 Cd 0.500 0.500 0.500
```

| no. | calculated total energy (eV/atom) | calculated formation energy (eV/atom) | ρ (Mg/m³) |
| --- | --- | --- | --- |
| 1 | -6.122 | 0.270 | 8.3 |
| 2 | -4.522 | 1.079 | 4.2 |